# 1
DFT (PBE) results for an optimized crystal structure of La5Ga4.

Structure (CIF):
```
data_La5Ga4
_cell_length_a 11.324
_cell_length_b 4.742
_cell_length_c 10.709
_cell_angle_alpha 90.00
_cell_angle_beta 115.88
_cell_angle_gamma 90.00
_symmetry_space_group_name_H-M 'C 1 2/m 1'
_symmetry_Int_Tables_number 12
loop_
_symmetry_equiv_pos_as_xyz
'x,y,z'
'-x,-y,-z'
'-x,y,-z'
'x,-y,z'
'x+1/2,y+1/2,z'
'-x+1/2,-y+1/2,-z'
'-x+1/2,y+1/2,-z'
'x+1/2,-y+1/2,z'
loop_
_atom_site_label
_atom_site_type_symbol
_atom_site_fract_x
_atom_site_fract_y
_atom_site_fract_z
_atom_site_occupancy
La1 La 0.000 0.000 0.000 1
La2 La 0.111 0.000 0.406 1
La3 La 0.240 0.000 0.830 1
Ga1 Ga 0.040 0.500 0.825 1
Ga2 Ga 0.109 0.500 0.619 1
```

# 2
DFT (PBE) results for an optimized crystal structure of LaGa3.

Structure (CIF):
```
data_LaGa3
_cell_length_a 4.493
_cell_length_b 4.493
_cell_length_c 8.959
_cell_angle_alpha 90.00
_cell_angle_beta 90.00
_cell_angle_gamma 90.00
_symmetry_space_group_name_H-M 'I 4/m m m'
_symmetry_Int_Tables_number 139
_symmetry_space_group_name_Hall '-I 4 2'
loop_
_atom_site_label
_atom_site_type_symbol
_atom_site_fract_x
_atom_site_fract_y
_atom_site_fract_z
_atom_site_occupancy
La1 La 0.000 0.000 0.000 1
Ga1 Ga 0.000 0.000 0.500 1
Ga2 Ga 0.000 0.500 0.250 1
```

# 3
# PBE La5Ga3, optimized geometry
data_La5Ga3
_cell_length_a 8.028
_cell_length_b 8.028
_cell_length_c 14.845
_cell_angle_alpha 90.00
_cell_angle_beta 90.00
_cell_angle_gamma 90.00
_symmetry_space_group_name_H-M 'P 4/n c c'
_symmetry_Int_Tables_number 130
loop_
_symmetry_equiv_pos_as_xyz
'x,y,z'
'-x,-y,-z'
'-y+1/2,x,z'
'y+1/2,-x,-z'
'-x+1/2,-y+1/2,z'
'x+1/2,y+1/2,-z'
'y,-x+1/2,z'
'-y,x+1/2,-z'
'x+1/2,-y,-z+1/2'
'-x+1/2,y,z+1/2'
'-y,-x,-z+1/2'
'y,x,z+1/2'
'-x,y+1/2,-z+1/2'
'x,-y+1/2,z+1/2'
'y+1/2,x+1/2,-z+1/2'
'-y+1/2,-x+1/2,z+1/2'
loop_
_atom_site_label
_atom_site_type_symbol
_atom_site_fract_x
_atom_site_fract_y
_atom_site_fract_z
_atom_site_occupancy
La1 La 0.064 0.589 0.103 1
La2 La 0.250 0.250 0.215 1
Ga1 Ga 0.132 0.632 0.750 1
Ga2 Ga 0.250 0.250 0.004 1
# Relative energy among the computed polymorphs (meV/atom): 0.0

# 4
# PBE La5Ga3, optimized geometry
data_La5Ga3
_cell_length_a 12.330
_cell_length_b 12.330
_cell_length_c 6.172
_cell_angle_alpha 90.00
_cell_angle_beta 90.00
_cell_angle_gamma 90.00
_symmetry_space_group_name_H-M 'I 4/m c m'
_symmetry_Int_Tables_number 140
_symmetry_space_group_name_Hall '-I 4 2c'
loop_
_atom_site_label
_atom_site_type_symbol
_atom_site_fract_x
_atom_site_fract_y
_atom_site_fract_z
_atom_site_occupancy
La1 La 0.000 0.500 0.250 1
La2 La 0.088 0.217 0.000 1
Ga1 Ga 0.000 0.000 0.250 1
Ga2 Ga 0.160 0.340 0.500 1
# Relative energy among the computed polymorphs (meV/atom): 16.8

Ordered formation energy results: -0.53; -0.38; -0.48; -0.46; unit eV per atom.